DFT (PBE) results for a geometry-optimized Th6Se5S structure.

The value obtained for the spin magnetization is 0.00 Bohr magnetons per cell. As for the total energy: -170.34 eV for the cell shown. The uncorrected formation energy is -1.592 eV per atom.

It has space group C2/m (No. 12), with a = 7.280 Å, b = 12.536 Å, c = 7.197 Å, α = 90.00°, β = 109.47° and γ = 90.00°. Symmetry generates all atoms from Th at (0.236, 0.000, 0.250), Th at (0.240, 0.161, 0.740), Se at (0.000, 0.175, 0.000), Se at (0.000, 0.336, 0.500), Se at (0.000, 0.500, 0.000) and S at (0.000, 0.000, 0.500).